CoSbF2 PBE+U optimized geometry; space group = I-42d, No. 122; total moment = 5.98 μB per cell; uncorrected energy = -34.5 eV/cell; polymorph energy (0 for the lowest one) = 314 meV per atom
1.0
-1.477 2.360 5.399
-2.982 -5.100 1.414
1.340 -2.990 5.091
Sb Co F
2 2 4
Cartesian
0.000 0.000 0.000 Sb
-1.183 -1.000 6.948 Sb
-2.229 -1.370 3.406 Co
-1.936 -4.730 4.956 Co
-0.711 -0.309 3.911 F
-1.963 -3.241 3.744 F
-1.172 -4.132 6.612 F
-2.393 -3.777 9.540 F